Computed, not measured: an optimized crystal structure of PrEuLuHg at the PBE level of DFT.

The density of states at the Fermi level is 0.772 states/eV/atom. As for the formation energy: -0.25 eV/f.u.

Cell: 7.871 7.871 7.871 Å, 90.00 90.00 90.00°
Space group F-43m (No. 216)
Asymmetric unit:
Pr  0.000  0.000  0.000
Eu  0.000  0.000  0.500
Lu  0.250  0.250  0.250
Hg  0.250  0.250  0.750